(1)
Here is crystalline NbHRh3 at its relaxed geometry from Alexandria. Energies are from PBE.

## Properties
Uncorrected energy, eV per atom: -7.42
DOS at the Fermi energy, states/eV per cell: 7.05
Symmetry: C2/m (12)
Energy relative to the lowest polymorph listed for this composition, eV per atom: 0.090

Cell lengths 18.0285, 8.5558, 8.5558 Å; angles 153.59, 161.98, 18.02 degrees
Fractional coordinates of all 10 atoms:
Nb: 0.3215 0.1067 0.8933
Nb: 0.6785 0.8933 0.1067
H: 0.9451 0.8584 0.1416
H: 0.0549 0.1416 0.8584
Rh: 0.9340 0.3821 0.6179
Rh: 0.4303 0.3895 0.6105
Rh: 0.1895 0.8710 0.1290
Rh: 0.8105 0.1290 0.8710
Rh: 0.0660 0.6179 0.3821
Rh: 0.5697 0.6105 0.3895

(2)
Here is crystalline CaH2PbF8 at its relaxed geometry from Alexandria. Energies are from PBE.

## Properties
Uncorrected energy, eV per atom: -4.55
DOS at the Fermi energy, states/eV per cell: 0.00
Symmetry: P-1 (2)

Cell lengths 3.7158, 5.4560, 8.1751 Å; angles 99.81, 89.91, 70.88 degrees
Fractional coordinates of all 12 atoms:
F: 0.3840 0.2389 0.0652
F: 0.8541 0.2975 0.3051
F: 0.9023 0.2003 0.8064
F: 0.1459 0.7025 0.6949
F: 0.0977 0.7997 0.1936
F: 0.3726 0.2637 0.5703
F: 0.6274 0.7363 0.4297
F: 0.6160 0.7611 0.9348
H: 0.7446 0.5071 0.3563
H: 0.2554 0.4929 0.6437
Pb: 0.0000 0.0000 0.0000
Ca: 0.0000 0.0000 0.5000

(3)
Here is crystalline TaInSeN2 at its relaxed geometry from Alexandria. Energies are from PBE.

## Properties
Formation energy (no corrections), eV per atom: 0.0161
Uncorrected energy, eV per atom: -6.93
DOS at the Fermi energy, states/eV per cell: 2.09
Symmetry: P4/mmm (123)
Energy relative to the lowest polymorph listed for this composition, eV per atom: 0.000

Cell lengths 4.0666, 4.0666, 5.3963 Å; angles 90.00, 90.00, 90.00 degrees
Fractional coordinates of all 5 atoms:
Se: 0.0000 0.0000 0.5000
N: 0.0000 0.5000 0.0000
N: 0.5000 0.0000 0.0000
Ta: 0.0000 0.0000 0.0000
In: 0.5000 0.5000 0.5000

(4)
Here is crystalline LiYCd2 at its relaxed geometry from Alexandria. Energies are from PBE.

## Properties
Uncorrected energy, eV per atom: -2.42
DOS at the Fermi energy, states/eV per cell: 2.20
Symmetry: Immm (71)

Cell lengths 6.6210, 6.6210, 6.6210 Å; angles 53.28, 151.90, 135.70 degrees
Fractional coordinates of all 4 atoms:
Y: 0.0000 0.5000 0.5000
Li: 0.0000 0.0000 0.0000
Cd: 0.0000 0.2125 0.2125
Cd: 0.0000 0.7875 0.7875

(5)
Here is crystalline Ce6PuTe8 at its relaxed geometry from Alexandria. Energies are from PBE.

## Properties
Formation energy (no corrections), eV per atom: -1.3194
Uncorrected energy, eV per atom: -6.32
DOS at the Fermi energy, states/eV per cell: 62.66
Symmetry: Fm-3m (225)

Cell lengths 8.9563, 8.9563, 8.9563 Å; angles 60.00, 60.00, 60.00 degrees
Fractional coordinates of all 15 atoms:
Te: 0.2500 0.2500 0.2500
Te: 0.7473 0.2527 0.2527
Te: 0.2527 0.2527 0.7473
Te: 0.7473 0.7473 0.2527
Te: 0.2527 0.7473 0.7473
Te: 0.7473 0.2527 0.7473
Te: 0.7500 0.7500 0.7500
Te: 0.2527 0.7473 0.2527
Ce: 0.5000 0.5000 0.0000
Ce: 0.5000 0.0000 0.5000
Ce: 0.0000 0.5000 0.5000
Ce: 0.0000 0.0000 0.5000
Ce: 0.5000 0.0000 0.0000
Ce: 0.0000 0.5000 0.0000
Pu: 0.0000 0.0000 0.0000

(6)
Here is crystalline CsP2F at its relaxed geometry from Alexandria. Energies are from PBE.

## Properties
Formation energy (no corrections), eV per atom: -0.6793
Uncorrected energy, eV per atom: -4.07
DOS at the Fermi energy, states/eV per cell: 3.23
Symmetry: I4_1/amd (141)
Energy relative to the lowest polymorph listed for this composition, eV per atom: 0.000

Cell lengths 4.1843, 4.1843, 14.9873 Å; angles 81.98, 81.98, 90.00 degrees
Fractional coordinates of all 8 atoms:
Cs: 0.0000 0.0000 0.0000
Cs: 0.7500 0.2500 0.5000
P: 0.8750 0.6249 0.7500
P: 0.3751 0.6250 0.2500
P: 0.3749 0.1250 0.2500
P: 0.3750 0.6251 0.7500
F: 0.2500 0.7500 0.5000
F: 0.5000 0.5000 0.0000

(7)
Here is crystalline Cd2Se at its relaxed geometry from Alexandria. Energies are from PBE.

## Properties
Formation energy (no corrections), eV per atom: 0.0622
Uncorrected energy, eV per atom: -1.71
DOS at the Fermi energy, states/eV per cell: 1.93
Symmetry: P-3m1 (164)
Energy relative to the lowest polymorph listed for this composition, eV per atom: 0.324

Cell lengths 5.4454, 5.4454, 2.8708 Å; angles 90.00, 90.00, 120.00 degrees
Fractional coordinates of all 3 atoms:
Se: 0.6667 0.3333 0.3333
Cd: 0.0000 0.0000 0.3172
Cd: 0.3333 0.6667 0.3495

(8)
Here is crystalline Co2SbOs at its relaxed geometry from Alexandria. Energies are from PBE.

## Properties
Formation energy (no corrections), eV per atom: 0.4094
Uncorrected energy, eV per atom: -6.98
DOS at the Fermi energy, states/eV per cell: 4.38
Symmetry: C2/m (12)
Energy relative to the lowest polymorph listed for this composition, eV per atom: 0.123

Cell lengths 4.5185, 4.5185, 4.6480 Å; angles 79.22, 79.22, 37.82 degrees
Fractional coordinates of all 4 atoms:
Sb: 0.2500 0.2500 0.2500
Os: 0.7500 0.7500 0.7500
Co: 0.0045 0.0045 0.9699
Co: 0.4955 0.4955 0.5301

(9)
Here is crystalline Ac3La at its relaxed geometry from Alexandria. Energies are from PBE.

## Properties
Uncorrected energy, eV per atom: -4.28
DOS at the Fermi energy, states/eV per cell: 14.55
Symmetry: P6_3/mmc (194)
Energy relative to the lowest polymorph listed for this composition, eV per atom: 0.019

Cell lengths 7.9473, 7.9473, 6.3725 Å; angles 90.00, 90.00, 120.00 degrees
Fractional coordinates of all 8 atoms:
Ac: 0.3366 0.1683 0.7500
Ac: 0.1683 0.3366 0.2500
Ac: 0.6634 0.8317 0.2500
Ac: 0.8317 0.6634 0.7500
Ac: 0.1683 0.8317 0.2500
Ac: 0.8317 0.1683 0.7500
La: 0.3333 0.6667 0.7500
La: 0.6667 0.3333 0.2500

(10)
Here is crystalline KPb12 at its relaxed geometry from Alexandria. Energies are from PBE.

## Properties
Uncorrected energy, eV per atom: -3.53
DOS at the Fermi energy, states/eV per cell: 5.27
Symmetry: I4/mmm (139)
Energy relative to the lowest polymorph listed for this composition, eV per atom: 0.000

Cell lengths 6.5987, 8.8215, 8.8215 Å; angles 81.96, 68.04, 68.04 degrees
Fractional coordinates of all 13 atoms:
Pb: 0.5000 0.0000 0.5000
Pb: 0.0000 0.5000 0.0000
Pb: 0.0000 0.3541 0.6459
Pb: 0.7173 0.7827 0.7827
Pb: 0.0000 0.6459 0.3541
Pb: 0.5000 0.7827 0.2173
Pb: 0.2827 0.2173 0.2173
Pb: 0.6459 0.3541 0.3541
Pb: 0.5000 0.5000 0.0000
Pb: 0.3541 0.6459 0.6459
Pb: 0.5000 0.2173 0.7827
Pb: 0.0000 0.0000 0.5000
K: 0.0000 0.0000 0.0000

(11)
Here is crystalline SrAc2PmTe5 at its relaxed geometry from Alexandria. Energies are from PBE.

## Properties
Formation energy (no corrections), eV per atom: -1.1098
Uncorrected energy, eV per atom: -4.48
DOS at the Fermi energy, states/eV per cell: 3.57
Symmetry: P4/mmm (123)

Cell lengths 5.6674, 5.6674, 12.0565 Å; angles 90.00, 90.00, 90.00 degrees
Fractional coordinates of all 9 atoms:
Te: 0.0000 0.5000 0.5000
Te: 0.0000 0.0000 0.2507
Te: 0.5000 0.0000 0.5000
Te: 0.0000 0.0000 0.7493
Te: 0.5000 0.5000 0.0000
Sr: 0.0000 0.0000 0.0000
Ac: 0.5000 0.5000 0.3097
Ac: 0.5000 0.5000 0.6903
Pm: 0.0000 0.0000 0.5000

(12)
Here is crystalline TbPrZr2 at its relaxed geometry from Alexandria. Energies are from PBE.

## Properties
Uncorrected energy, eV per atom: -6.45
DOS at the Fermi energy, states/eV per cell: 4.70
Symmetry: P4/mmm (123)
Energy relative to the lowest polymorph listed for this composition, eV per atom: 0.000

Cell lengths 4.8702, 4.7603, 4.7603 Å; angles 90.00, 90.00, 90.00 degrees
Fractional coordinates of all 4 atoms:
Tb: 0.5000 0.5000 0.5000
Zr: 0.0000 0.0000 0.5000
Zr: 0.0000 0.5000 0.0000
Pr: 0.5000 0.0000 0.0000

(13)
Here is crystalline NpGa2Hg at its relaxed geometry from Alexandria. Energies are from PBE.

## Properties
Uncorrected energy, eV per atom: -4.74
DOS at the Fermi energy, states/eV per cell: 6.86
Symmetry: P4/mmm (123)
Energy relative to the lowest polymorph listed for this composition, eV per atom: 0.110

Cell lengths 3.4646, 3.4646, 7.1193 Å; angles 90.00, 90.00, 90.00 degrees
Fractional coordinates of all 4 atoms:
Ga: 0.0000 0.0000 0.7330
Ga: 0.0000 0.0000 0.2670
Np: 0.5000 0.5000 0.0000
Hg: 0.5000 0.5000 0.5000

(14)
Here is crystalline RbSr3Os at its relaxed geometry from Alexandria. Energies are from PBE.

## Properties
Uncorrected energy, eV per atom: -1.38
DOS at the Fermi energy, states/eV per cell: 8.42
Symmetry: Pm-3m (221)
Energy relative to the lowest polymorph listed for this composition, eV per atom: 1.641

Cell lengths 5.7720, 5.7720, 5.7720 Å; angles 90.00, 90.00, 90.00 degrees
Fractional coordinates of all 5 atoms:
Sr: 0.0000 0.5000 0.0000
Sr: 0.5000 0.0000 0.0000
Sr: 0.0000 0.0000 0.5000
Rb: 0.0000 0.0000 0.0000
Os: 0.5000 0.5000 0.5000

(15)
Here is crystalline Y2Cd2Te at its relaxed geometry from Alexandria. Energies are from PBE.

## Properties
Formation energy (no corrections), eV per atom: -0.3941
Uncorrected energy, eV per atom: -3.97
DOS at the Fermi energy, states/eV per cell: 5.22
Symmetry: P4/mbm (127)
Energy relative to the lowest polymorph listed for this composition, eV per atom: 0.101

Cell lengths 7.9514, 7.9514, 4.3461 Å; angles 90.00, 90.00, 90.00 degrees
Fractional coordinates of all 10 atoms:
Cd: 0.6276 0.1276 0.0000
Cd: 0.8724 0.6276 0.0000
Cd: 0.3724 0.8724 0.0000
Cd: 0.1276 0.3724 0.0000
Y: 0.6663 0.8337 0.5000
Y: 0.3337 0.1663 0.5000
Y: 0.1663 0.6663 0.5000
Y: 0.8337 0.3337 0.5000
Te: 0.5000 0.5000 0.0000
Te: 0.0000 0.0000 0.0000

(16)
Here is crystalline Li5Co4N4 at its relaxed geometry from Alexandria. Energies are from PBE.

## Properties
Formation energy (no corrections), eV per atom: -0.1582
Uncorrected energy, eV per atom: -5.64
DOS at the Fermi energy, states/eV per cell: 7.77
Symmetry: I4/m (87)

Cell lengths 2.7713, 6.7154, 6.7154 Å; angles 87.56, 78.09, 78.09 degrees
Fractional coordinates of all 13 atoms:
Li: 0.0000 0.0000 0.0000
Li: 0.6848 0.9482 0.6822
Li: 0.3152 0.0518 0.3178
Li: 0.3670 0.3178 0.9482
Li: 0.6330 0.6822 0.0518
N: 0.2558 0.7309 0.7574
N: 0.9867 0.7574 0.2691
N: 0.7442 0.2691 0.2426
N: 0.0133 0.2426 0.7309
Co: 0.4136 0.7149 0.4579
Co: 0.8715 0.5421 0.7149
Co: 0.1285 0.4579 0.2851
Co: 0.5864 0.2851 0.5421

(17)
Here is crystalline K2LiPmCl6 at its relaxed geometry from Alexandria. Energies are from PBE.

## Properties
Formation energy (no corrections), eV per atom: -2.0743
Uncorrected energy, eV per atom: -4.07
DOS at the Fermi energy, states/eV per cell: 0.00
Symmetry: P2_1/c (14)

Cell lengths 7.2677, 7.5354, 10.3205 Å; angles 90.00, 89.41, 90.00 degrees
Fractional coordinates of all 20 atoms:
Cl: 0.7948 0.7966 0.9566
Cl: 0.7052 0.2966 0.5434
Cl: 0.3002 0.7068 0.0447
Cl: 0.5861 0.0212 0.2432
Cl: 0.2948 0.7034 0.4566
Cl: 0.6998 0.2932 0.9553
Cl: 0.1998 0.2068 0.4553
Cl: 0.2052 0.2034 0.0434
Cl: 0.4139 0.9788 0.7568
Cl: 0.9139 0.5212 0.2568
Cl: 0.8002 0.7932 0.5447
Cl: 0.0861 0.4788 0.7432
Pm: 0.0000 0.5000 0.0000
Pm: 0.5000 0.0000 0.5000
K: 0.5178 0.5609 0.7518
K: 0.9822 0.0609 0.7482
K: 0.4822 0.4391 0.2482
K: 0.0178 0.9391 0.2518
Li: 0.5000 0.0000 0.0000
Li: 0.0000 0.5000 0.5000

(18)
Here is crystalline IrOsCl2 at its relaxed geometry from Alexandria. Energies are from PBE.

## Properties
Formation energy (no corrections), eV per atom: 0.1293
Uncorrected energy, eV per atom: -5.82
DOS at the Fermi energy, states/eV per cell: 3.38
Symmetry: Pm (6)
Energy relative to the lowest polymorph listed for this composition, eV per atom: 0.000

Cell lengths 3.3818, 2.9042, 8.2468 Å; angles 90.19, 90.00, 90.00 degrees
Fractional coordinates of all 4 atoms:
Cl: 0.0000 0.8777 0.9143
Cl: 0.5000 0.3722 0.3325
Ir: 0.0000 0.3743 0.5448
Os: 0.5000 0.8758 0.7085

(19)
Here is crystalline ReNiAg2S at its relaxed geometry from Alexandria. Energies are from PBE.

## Properties
Formation energy (no corrections), eV per atom: 1.1909
Uncorrected energy, eV per atom: -4.42
DOS at the Fermi energy, states/eV per cell: 4.82
Symmetry: P4/mmm (123)

Cell lengths 4.7972, 4.0492, 4.7972 Å; angles 90.00, 90.00, 90.00 degrees
Fractional coordinates of all 5 atoms:
Re: 0.5000 0.5000 0.5000
Ag: 0.5000 0.0000 0.0000
Ag: 0.0000 0.0000 0.5000
Ni: 0.0000 0.5000 0.0000
S: 0.0000 0.0000 0.0000

(20)
Here is crystalline CaPm3Nd4Te8 at its relaxed geometry from Alexandria. Energies are from PBE.

## Properties
Formation energy (no corrections), eV per atom: -1.4353
Uncorrected energy, eV per atom: -5.21
DOS at the Fermi energy, states/eV per cell: 9.76
Symmetry: R-3m (166)

Cell lengths 8.9691, 8.9771, 8.9679 Å; angles 119.96, 120.00, 90.00 degrees
Fractional coordinates of all 16 atoms:
Nd: 0.0000 0.0000 0.0000
Nd: 0.5000 0.0000 0.0000
Nd: 0.5000 0.0000 0.5000
Nd: 0.0000 0.0000 0.5000
Te: 0.7526 0.2544 0.0017
Te: 0.2491 0.2544 0.0017
Te: 0.2507 0.2526 0.5014
Te: 0.2472 0.7455 0.4944
Te: 0.7493 0.7474 0.4986
Te: 0.2474 0.7456 0.9983
Te: 0.7509 0.7456 0.9983
Te: 0.7528 0.2545 0.5056
Pm: 0.5000 0.5000 0.0000
Pm: 0.0000 0.5000 0.5000
Pm: 0.5000 0.5000 0.5000
Ca: 0.0000 0.5000 0.0000

(21)
Here is crystalline VHgTe2 at its relaxed geometry from Alexandria. Energies are from PBE.

## Properties
Formation energy (no corrections), eV per atom: -0.2234
Uncorrected energy, eV per atom: -4.15
DOS at the Fermi energy, states/eV per cell: 0.65
Symmetry: R3m (160)

Cell lengths 3.5965, 3.5965, 10.8830 Å; angles 80.49, 80.49, 60.00 degrees
Fractional coordinates of all 4 atoms:
Hg: 0.0181 0.0181 0.9457
V: 0.8584 0.8584 0.4249
Te: 0.1370 0.1370 0.5889
Te: 0.2465 0.2465 0.2605

(22)
Here is crystalline YFe2Br at its relaxed geometry from Alexandria. Energies are from PBE.

## Properties
Formation energy (no corrections), eV per atom: 0.1488
Uncorrected energy, eV per atom: -6.12
DOS at the Fermi energy, states/eV per cell: 3.46
Symmetry: P2/m (10)
Energy relative to the lowest polymorph listed for this composition, eV per atom: 0.268

Cell lengths 4.3463, 3.5198, 5.1221 Å; angles 90.17, 90.00, 90.00 degrees
Fractional coordinates of all 4 atoms:
Br: 0.5000 0.7500 0.7500
Fe: 0.0000 0.7508 0.4682
Fe: 0.0000 0.7492 0.0318
Y: 0.5000 0.2500 0.2500

(23)
Here is crystalline Li5PbAu6 at its relaxed geometry from Alexandria. Energies are from PBE.

## Properties
Uncorrected energy, eV per atom: -3.19
DOS at the Fermi energy, states/eV per cell: 2.65
Symmetry: C2/m (12)
Energy relative to the lowest polymorph listed for this composition, eV per atom: 0.009

Cell lengths 7.9028, 4.6039, 7.3423 Å; angles 71.73, 79.38, 54.01 degrees
Fractional coordinates of all 12 atoms:
Au: 0.2612 0.9188 0.6398
Au: 0.7199 0.7797 0.0000
Au: 0.2612 0.5586 0.3602
Au: 0.7388 0.4414 0.6398
Au: 0.7388 0.0812 0.3602
Au: 0.2801 0.2203 0.0000
Li: 0.5000 0.1633 0.6734
Li: 0.5000 0.8367 0.3266
Li: 0.5000 0.5000 0.0000
Li: 0.0000 0.6647 0.6706
Li: 0.0000 0.3353 0.3294
Pb: 0.0000 0.0000 0.0000

(24)
Here is crystalline YAl2ZnAu at its relaxed geometry from Alexandria. Energies are from PBE.

## Properties
Uncorrected energy, eV per atom: -3.69
DOS at the Fermi energy, states/eV per cell: 3.28
Symmetry: P4/mmm (123)

Cell lengths 4.8767, 4.8356, 4.8767 Å; angles 90.00, 90.00, 90.00 degrees
Fractional coordinates of all 5 atoms:
Al: 0.5000 0.0000 0.0000
Al: 0.0000 0.0000 0.5000
Y: 0.5000 0.5000 0.5000
Zn: 0.0000 0.5000 0.0000
Au: 0.0000 0.0000 0.0000